A plane-wave DFT calculation with GGA-PBE was carried out for a geometry-optimized TmZnFeGe2 structure.

abc: 5.401 5.524 5.710
angles: 90.00 90.00 90.00
Element x y z (fractional)
Tm  0.250  0.000  0.221
Tm  0.750  0.000  0.779
Zn  0.250  0.500  0.373
Zn  0.750  0.500  0.627
Fe  0.000  0.500  0.000
Fe  0.500  0.500  0.000
Ge  0.250  0.237  0.744
Ge  0.250  0.763  0.744
Ge  0.750  0.237  0.256
Ge  0.750  0.763  0.256

---

A plane-wave DFT calculation with GGA-PBE was carried out for a geometry-optimized UFe4Ge structure.

abc: 9.249 9.249 9.249
angles: 150.71 150.71 41.89
Element x y z (fractional)
U  0.375  0.625  0.750
U  0.625  0.375  0.250
Fe  0.247  0.247  0.001
Fe  0.247  0.247  0.501
Fe  0.247  0.746  0.999
Fe  0.254  0.753  0.501
Fe  0.746  0.247  0.499
Fe  0.753  0.254  0.001
Fe  0.753  0.753  0.499
Fe  0.753  0.753  0.999
Ge  0.125  0.875  0.250
Ge  0.875  0.125  0.750

---

A plane-wave DFT calculation with GGA-PBE was carried out for a geometry-optimized U2Fe2Ge structure.

abc: 4.928 4.928 4.928
angles: 128.57 112.92 89.26
Element x y z (fractional)
U  0.193  0.193  0.000
U  0.807  0.807  0.000
Fe  0.254  0.500  0.754
Fe  0.746  0.500  0.246
Ge  0.500  0.000  0.500

---

A plane-wave DFT calculation with GGA-PBE was carried out for a geometry-optimized UFeGe2 structure.

abc: 4.950 4.950 3.994
angles: 102.99 102.99 49.70
Element x y z (fractional)
U  0.000  0.000  0.000
Fe  0.203  0.203  0.834
Ge  0.367  0.367  0.406
Ge  0.667  0.667  0.520

---

A plane-wave DFT calculation with GGA-PBE was carried out for a geometry-optimized UFe2Ge structure.

abc: 8.591 8.591 8.591
angles: 19.15 19.15 19.15
Element x y z (fractional)
U  0.000  0.000  0.000
Fe  0.240  0.240  0.240
Fe  0.760  0.760  0.760
Ge  0.500  0.500  0.500

---

A plane-wave DFT calculation with GGA-PBE was carried out for a geometry-optimized UFe3Ge5 structure.

abc: 6.578 6.578 8.318
angles: 107.06 107.06 73.10
Element x y z (fractional)
U  0.116  0.116  0.306
U  0.884  0.884  0.694
Fe  0.000  0.000  0.000
Fe  0.000  0.000  0.500
Fe  0.321  0.321  0.311
Fe  0.358  0.358  0.835
Fe  0.642  0.642  0.165
Fe  0.679  0.679  0.689
Ge  0.027  0.639  0.314
Ge  0.227  0.227  0.003
Ge  0.292  0.708  0.000
Ge  0.361  0.973  0.686
Ge  0.427  0.427  0.610
Ge  0.573  0.573  0.390
Ge  0.639  0.027  0.314
Ge  0.708  0.292  0.000
Ge  0.773  0.773  0.997
Ge  0.973  0.361  0.686

---

| no. | total energy (eV/cell) |
| --- | --- |
| 1 | -50.393 |
| 2 | -95.568 |
| 3 | -45.456 |
| 4 | -29.517 |
| 5 | -31.575 |
| 6 | -119.640 |